Entry 1:
Computed, not measured: Pm3AgHg after structural relaxation at the PBE level of DFT.

The formation energy from the elements is -0.073 eV/atom. Its energy relative to the lowest polymorph listed for this composition is 1.073 eV per formula unit. The value obtained for the total magnetic moment is 0.000 μB/atom.

Unit cell a=16.8786 b=9.8334 c=3.8018 alpha=90.00 beta=90.01 gamma=90.00
Closest atoms and distances in Å follow each position.
Space group C2 (No. 5)
Unique sites:
Pm 0.1073 0.0000 0.0007 x4  2 Ag 3.11, 2 Hg 3.25
Pm 0.1070 0.3887 0.9993 x4  2 Ag 3.12, 2 Hg 3.24-3.25
Pm 0.1502 0.6945 0.5005 x4  2 Ag 2.98, 2 Hg 3.17
Ag 0.2501 0.4446 0.4992 x4  6 Pm 2.98-3.12
Hg 0.0000 0.1943 0.5000 x2  8 Pm 3.24-3.25
Hg 0.0000 0.6940 0.0000 x2  8 Pm 3.17-3.51

Entry 2:
Computed, not measured: BaFe2Cl after structural relaxation at the PBE level of DFT.

Its energy relative to the lowest polymorph listed for this composition is 0.727 eV per formula unit. The value obtained for the total magnetic moment is 1.369 μB/atom. For the uncorrected formation energy, the calculation gives 0.1571 eV/atom.

Unit cell a=3.4873 b=6.2528 c=4.9370 alpha=90.00 beta=90.58 gamma=90.00
Closest atoms and distances in Å follow each position.
Space group P2/m (No. 10)
Unique sites:
Ba 0.0000 0.0000 0.0000 x1  4 Cl 3.01-3.04, 4 Fe 3.36
Fe 0.2702 0.5000 0.1585 x2  2 Fe 2.25-2.44
Cl 0.5000 0.0000 0.5000 x1  4 Ba 3.01-3.04

Entry 3:
Computed, not measured: ScBe2Cr after structural relaxation at the PBE level of DFT.

The formation energy from the elements is 0.329 eV/atom. Its energy relative to the lowest polymorph listed for this composition is 1.142 eV per formula unit. The value obtained for the total magnetic moment is 0.002 μB/atom.

Unit cell a=8.1284 b=2.4173 c=5.2494 alpha=90.00 beta=94.67 gamma=90.00
Closest atoms and distances in Å follow each position.
Space group C2/m (No. 12)
Unique sites:
Sc 0.0000 0.0000 0.0000 x2  2 Sc 2.42
Be 0.2443 0.0000 0.6752 x4  4 Be 2.21-2.42, 3 Cr 2.34-2.44
Cr 0.0000 0.5000 0.5000 x2  6 Be 2.34-2.44, 2 Cr 2.42

Entry 4:
Computed, not measured: YZrFe2 after structural relaxation at the PBE level of DFT.

The formation energy from the elements is -0.011 eV/atom. Its energy relative to the lowest polymorph listed for this composition is 0.000 eV per formula unit. The value obtained for the total magnetic moment is 0.387 μB/atom.

Unit cell a=3.7094 b=3.8505 c=10.5870 alpha=90.00 beta=90.00 gamma=90.00
Closest atoms and distances in Å follow each position.
Space group Amm2 (No. 38)
Unique sites:
Y 0.0000 0.0000 0.0000 x2  7 Fe 2.89-3.03
Zr 0.5000 0.0000 0.2892 x2  6 Fe 2.76-2.77
Fe 0.0000 0.0000 0.7208 x2  2 Fe 2.24
Fe 0.5000 0.0000 0.6028 x2  2 Fe 2.24

Entry 5:
Computed, not measured: BaMnPt2 after structural relaxation at the PBE level of DFT.

The formation energy from the elements is 0.064 eV/atom. The value obtained for the total magnetic moment is 1.202 μB/atom.

Unit cell a=4.2796 b=4.2796 c=9.4167 alpha=90.00 beta=90.00 gamma=90.00
Closest atoms and distances in Å follow each position.
Space group I-4m2 (No. 119)
Unique sites:
Ba 0.0000 0.0000 0.0000 x2  8 Pt 3.03-3.18, 4 Mn 3.18
Mn 0.0000 0.5000 0.7500 x2  8 Pt 3.03-3.18, 4 Ba 3.18
Pt 0.0000 0.0000 0.5000 x2  4 Ba 3.03, 4 Mn 3.18, 4 Pt 3.18
Pt 0.0000 0.5000 0.2500 x2  4 Mn 3.03, 4 Ba 3.18, 4 Pt 3.18

Entry 6:
Computed, not measured: LaTb5 after structural relaxation at the PBE level of DFT.

The formation energy from the elements is 0.025 eV/atom. The value obtained for the total magnetic moment is 0.000 μB/atom.

Unit cell a=5.0771 b=15.2920 c=5.0827 alpha=90.00 beta=90.00 gamma=90.00
Closest atoms and distances in Å follow each position.
Space group Cmmm (No. 65)
Unique sites:
La 0.0000 0.0000 0.0000 x2  12 Tb 3.59-3.62
Tb 0.0000 0.1677 0.5000 x4  10 Tb 3.56-3.61, 2 La 3.61
Tb 0.0000 0.3308 0.0000 x4  10 Tb 3.54-3.63, 2 La 3.62
Tb 0.0000 0.5000 0.5000 x2  4 La 3.59, 8 Tb 3.61-3.63

Entry 7:
Computed, not measured: BeRe2Ir after structural relaxation at the PBE level of DFT.

The formation energy from the elements is -0.063 eV/atom. The value obtained for the total magnetic moment is 0.000 μB/atom.

Unit cell a=2.7632 b=2.7632 c=6.8060 alpha=90.00 beta=90.00 gamma=90.00
Closest atoms and distances in Å follow each position.
Space group P4/mmm (No. 123)
Unique sites:
Be 0.0000 0.0000 0.0000 x1  8 Re 2.43
Re 0.5000 0.5000 0.2133 x2  4 Be 2.43
Ir 0.0000 0.0000 0.5000 x1  8 Re 2.76, 4 Ir 2.76

Entry 8:
Computed, not measured: Na3BRu after structural relaxation at the PBE level of DFT.

The formation energy from the elements is 1.891 eV/atom. Its energy relative to the lowest polymorph listed for this composition is 1.656 eV per formula unit. The value obtained for the total magnetic moment is 0.109 μB/atom.

Unit cell a=5.3873 b=5.3873 c=5.3873 alpha=90.00 beta=90.00 gamma=90.00
Closest atoms and distances in Å follow each position.
Space group Pm-3m (No. 221)
Unique sites:
Na 0.0000 0.0000 0.5000 x3  2 Ru 2.69
B 0.5000 0.5000 0.5000 x1  12 Na 3.81
Ru 0.0000 0.0000 0.0000 x1  6 Na 2.69

Entry 9:
Computed, not measured: Nd15Dy4Th after structural relaxation at the PBE level of DFT.

The formation energy from the elements is 0.025 eV/atom. The value obtained for the total magnetic moment is 0.000 μB/atom.

Unit cell a=5.1700 b=5.1700 c=25.7696 alpha=90.00 beta=90.00 gamma=90.00
Closest atoms and distances in Å follow each position.
Space group P4/mmm (No. 123)
Unique sites:
Nd 0.0000 0.0000 0.0000 x1  8 Nd 3.63, 4 Th 3.66
Nd 0.0000 0.0000 0.2020 x2  8 Nd 3.61-3.71, 4 Dy 3.66
Nd 0.0000 0.0000 0.4005 x2  8 Nd 3.64-3.66, 4 Dy 3.66
Nd 0.0000 0.5000 0.0988 x4  2 Th 3.63, 8 Nd 3.63-3.71, 2 Dy 3.68
Nd 0.0000 0.5000 0.3000 x4  8 Nd 3.61-3.66, 4 Dy 3.64-3.65
Nd 0.0000 0.5000 0.5000 x2  8 Nd 3.64-3.66, 4 Dy 3.65
Dy 0.5000 0.5000 0.2004 x2  12 Nd 3.64-3.68
Dy 0.5000 0.5000 0.4001 x2  12 Nd 3.65-3.66
Th 0.5000 0.5000 0.0000 x1  12 Nd 3.63-3.66

Entry 10:
Computed, not measured: Sc2NbIr3Rh6 after structural relaxation at the PBE level of DFT.

The formation energy from the elements is 0.244 eV/atom. The value obtained for the total magnetic moment is 0.000 μB/atom.

Unit cell a=3.6247 b=3.6247 c=17.4830 alpha=90.00 beta=90.00 gamma=90.00
Closest atoms and distances in Å follow each position.
Space group P4/mmm (No. 123)
Unique sites:
Sc 0.0000 0.0000 0.2083 x2  4 Ir 2.83, 4 Rh 2.86
Nb 0.0000 0.0000 0.5000 x1  8 Rh 2.68
Ir 0.5000 0.5000 0.0000 x1  2 Rh 2.37
Ir 0.5000 0.5000 0.2771 x2  5 Rh 2.47-2.65
Rh 0.0000 0.5000 0.3873 x4  4 Rh 2.56, 2 Ir 2.65, 2 Nb 2.68
Rh 0.5000 0.5000 0.1356 x2  2 Ir 2.37-2.47

Entry 11:
Computed, not measured: LuRu3C after structural relaxation at the PBE level of DFT.

The formation energy from the elements is -0.277 eV/atom. The value obtained for the total magnetic moment is 0.000 μB/atom.

Unit cell a=4.1323 b=4.1323 c=4.1323 alpha=90.00 beta=90.00 gamma=90.00
Closest atoms and distances in Å follow each position.
Space group Pm-3m (No. 221)
Unique sites:
Lu 0.0000 0.0000 0.0000 x1  12 Ru 2.92
Ru 0.0000 0.5000 0.5000 x3  2 C 2.07
C 0.5000 0.5000 0.5000 x1  6 Ru 2.07

Entry 12:
Computed, not measured: TbPr2Er4 after structural relaxation at the PBE level of DFT.

The formation energy from the elements is 0.184 eV/atom. Its energy relative to the lowest polymorph listed for this composition is 0.000 eV per formula unit. The value obtained for the total magnetic moment is 0.000 μB/atom.

Unit cell a=6.7425 b=8.9090 c=8.9143 alpha=82.77 beta=67.83 gamma=67.77
Closest atoms and distances in Å follow each position.
Space group P1 (No. 1)
Unique sites:
Tb 0.0000 0.0000 0.0000 x1  3 Er 3.00-3.34
Tb 0.4994 0.0522 0.9494 x1  3 Er 3.00-3.34
Pr 0.0006 0.5534 0.4467 x1  1 Er 3.01
Pr 0.1362 0.5261 0.9745 x1  3 Er 3.26-3.65
Pr 0.4996 0.4989 0.5028 x1  1 Er 3.01
Pr 0.6330 0.0260 0.4746 x1  4 Er 3.26-3.65
Er 0.1142 0.8753 0.6288 x1  1 Tb 3.34, 2 Pr 3.38-3.72, 3 Er 3.52-3.59
Er 0.1180 0.1769 0.3203 x1  1 Tb 3.34, 2 Pr 3.38-3.72, 3 Er 3.52-3.59
Er 0.1590 0.2736 0.7282 x1  1 Er 2.99, 2 Pr 3.26
Er 0.2151 0.7778 0.2238 x1  1 Er 2.99, 1 Tb 3.00, 1 Pr 3.01
Er 0.6186 0.6796 0.8245 x1  1 Tb 3.34, 2 Pr 3.38-3.72, 3 Er 3.54-3.59
Er 0.6223 0.3726 0.1247 x1  1 Tb 3.34, 2 Pr 3.39-3.72, 3 Er 3.54-3.58
Er 0.6606 0.7778 0.2209 x1  1 Er 2.99, 2 Pr 3.26-3.27
Er 0.7165 0.2738 0.7249 x1  1 Er 2.99, 1 Tb 3.00, 1 Pr 3.01